LaEuHoLu: optimized geometry, PBE-GGA.

Calculated values
Crystal system: cubic
Energy of formation from the pure elements: 54 kJ/mol of formula units

Unit cell a=5.7928 b=5.7928 c=5.7928 alpha=60.00 beta=60.00 gamma=60.00
Element x y z (fractional)
La1 0.0000 0.0000 0.0000
Eu1 0.2500 0.2500 0.2500
Ho1 0.5000 0.5000 0.5000
Lu1 0.7500 0.7500 0.7500

***

LaPmEuHo: optimized geometry, PBE-GGA.

Calculated values
Crystal system: cubic
Energy of formation from the pure elements: 58 kJ/mol of formula units

Unit cell a=5.8680 b=5.8680 c=5.8680 alpha=60.00 beta=60.00 gamma=60.00
Element x y z (fractional)
La1 0.0000 0.0000 0.0000
Pm1 0.7500 0.7500 0.7500
Eu1 0.2500 0.2500 0.2500
Ho1 0.5000 0.5000 0.5000

***

LiEuHoMg: optimized geometry, PBE-GGA.

Calculated values
Crystal system: cubic
Energy of formation from the pure elements: 21 kJ/mol of formula units

Unit cell a=5.4711 b=5.4711 c=5.4711 alpha=60.00 beta=60.00 gamma=60.00
Element x y z (fractional)
Li1 0.0000 0.0000 0.0000
Eu1 0.7500 0.7500 0.7500
Ho1 0.2500 0.2500 0.2500
Mg1 0.5000 0.5000 0.5000

***

LiNdEuHo: optimized geometry, PBE-GGA.

Calculated values
Crystal system: cubic
Energy of formation from the pure elements: 76 kJ/mol of formula units

Unit cell a=5.6738 b=5.6738 c=5.6738 alpha=60.00 beta=60.00 gamma=60.00
Element x y z (fractional)
Li1 0.0000 0.0000 0.0000
Nd1 0.2500 0.2500 0.2500
Eu1 0.7500 0.7500 0.7500
Ho1 0.5000 0.5000 0.5000

***

LiEuHoPd: optimized geometry, PBE-GGA.

Calculated values
Crystal system: cubic
Energy of formation from the pure elements: -125 kJ/mol of formula units

Unit cell a=5.1080 b=5.1080 c=5.1080 alpha=60.00 beta=60.00 gamma=60.00
Element x y z (fractional)
Li1 0.0000 0.0000 0.0000
Eu1 0.2500 0.2500 0.2500
Ho1 0.7500 0.7500 0.7500
Pd1 0.5000 0.5000 0.5000

***

LiPmEuHo: optimized geometry, PBE-GGA.

Calculated values
Crystal system: cubic
Energy of formation from the pure elements: 78 kJ/mol of formula units

Unit cell a=5.6586 b=5.6586 c=5.6586 alpha=60.00 beta=60.00 gamma=60.00
Element x y z (fractional)
Li1 0.0000 0.0000 0.0000
Pm1 0.7500 0.7500 0.7500
Eu1 0.2500 0.2500 0.2500
Ho1 0.5000 0.5000 0.5000

***

LiEuHoRu: optimized geometry, PBE-GGA.

Calculated values
Crystal system: cubic
Energy of formation from the pure elements: -30 kJ/mol of formula units

Unit cell a=4.9738 b=4.9738 c=4.9738 alpha=60.00 beta=60.00 gamma=60.00
Element x y z (fractional)
Li1 0.0000 0.0000 0.0000
Eu1 0.7500 0.7500 0.7500
Ho1 0.2500 0.2500 0.2500
Ru1 0.5000 0.5000 0.5000

***

LiEuHoSc: optimized geometry, PBE-GGA.

Calculated values
Crystal system: cubic
Energy of formation from the pure elements: 84 kJ/mol of formula units

Unit cell a=5.4637 b=5.4637 c=5.4637 alpha=60.00 beta=60.00 gamma=60.00
Element x y z (fractional)
Li1 0.0000 0.0000 0.0000
Eu1 0.2500 0.2500 0.2500
Ho1 0.7500 0.7500 0.7500
Sc1 0.5000 0.5000 0.5000

***

LiEuHoSi: optimized geometry, PBE-GGA.

Calculated values
Crystal system: cubic
Formation energy (no corrections): -0.284 eV/atom

Unit cell a=5.0908 b=5.0908 c=5.0908 alpha=60.00 beta=60.00 gamma=60.00
Element x y z (fractional)
Li1 0.0000 0.0000 0.0000
Eu1 0.7500 0.7500 0.7500
Ho1 0.2500 0.2500 0.2500
Si1 0.5000 0.5000 0.5000

***

LiTbEuHo: optimized geometry, PBE-GGA.

Calculated values
Crystal system: cubic
Energy of formation from the pure elements: 81 kJ/mol of formula units

Unit cell a=5.6157 b=5.6157 c=5.6157 alpha=60.00 beta=60.00 gamma=60.00
Element x y z (fractional)
Li1 0.0000 0.0000 0.0000
Tb1 0.2500 0.2500 0.2500
Eu1 0.7500 0.7500 0.7500
Ho1 0.5000 0.5000 0.5000

***

LiEuHoTm: optimized geometry, PBE-GGA.

Calculated values
Crystal system: cubic
Energy of formation from the pure elements: 80 kJ/mol of formula units

Unit cell a=5.5765 b=5.5765 c=5.5765 alpha=60.00 beta=60.00 gamma=60.00
Element x y z (fractional)
Li1 0.0000 0.0000 0.0000
Eu1 0.2500 0.2500 0.2500
Ho1 0.7500 0.7500 0.7500
Tm1 0.5000 0.5000 0.5000

***

LiEuYHo: optimized geometry, PBE-GGA.

Calculated values
Crystal system: cubic
Energy of formation from the pure elements: 81 kJ/mol of formula units

Unit cell a=5.6195 b=5.6195 c=5.6195 alpha=60.00 beta=60.00 gamma=60.00
Element x y z (fractional)
Li1 0.0000 0.0000 0.0000
Eu1 0.7500 0.7500 0.7500
Y1 0.2500 0.2500 0.2500
Ho1 0.5000 0.5000 0.5000

***

LiEuHoZn: optimized geometry, PBE-GGA.

Calculated values
Crystal system: cubic
Energy of formation from the pure elements: -24 kJ/mol of formula units

Unit cell a=5.2395 b=5.2395 c=5.2395 alpha=60.00 beta=60.00 gamma=60.00
Element x y z (fractional)
Li1 0.0000 0.0000 0.0000
Eu1 0.7500 0.7500 0.7500
Ho1 0.2500 0.2500 0.2500
Zn1 0.5000 0.5000 0.5000

***

EuHo2Lu: optimized geometry, PBE-GGA.

Calculated values
Crystal system: cubic
Energy of formation from the pure elements: 65 kJ/mol of formula units

Unit cell a=5.6882 b=5.6882 c=5.6882 alpha=60.00 beta=60.00 gamma=60.00
Element x y z (fractional)
Eu1 0.0000 0.0000 0.0000
Ho1 0.2500 0.2500 0.2500
Ho2 0.7500 0.7500 0.7500
Lu1 0.5000 0.5000 0.5000

***

EuHoLu2: optimized geometry, PBE-GGA.

Calculated values
Crystal system: tetragonal
Energy of formation from the pure elements: 61 kJ/mol of formula units

Unit cell a=5.6672 b=5.6672 c=3.9731 alpha=90.00 beta=90.00 gamma=90.00
Element x y z (fractional)
Eu1 0.0000 0.0000 0.0000
Ho1 0.5000 0.5000 0.0000
Lu1 0.0000 0.5000 0.5000
Lu2 0.5000 0.0000 0.5000

***

EuHoLu2: optimized geometry, PBE-GGA.

Calculated values
Crystal system: trigonal
Energy of formation from the pure elements: 70 kJ/mol of formula units

Unit cell a=12.5292 b=12.5292 c=12.5292 alpha=15.95 beta=15.95 gamma=15.95
Element x y z (fractional)
Eu1 0.0000 0.0000 0.0000
Ho1 0.5000 0.5000 0.5000
Lu1 0.0915 0.0915 0.0915
Lu2 0.9085 0.9085 0.9085

***

Eu2HoLu: optimized geometry, PBE-GGA.

Calculated values
Crystal system: cubic
Energy of formation from the pure elements: 68 kJ/mol of formula units

Unit cell a=5.7939 b=5.7939 c=5.7939 alpha=60.00 beta=60.00 gamma=60.00
Element x y z (fractional)
Eu1 0.2500 0.2500 0.2500
Eu2 0.7500 0.7500 0.7500
Ho1 0.0000 0.0000 0.0000
Lu1 0.5000 0.5000 0.5000

***

Eu2HoLu: optimized geometry, PBE-GGA.

Calculated values
Crystal system: tetragonal
Energy of formation from the pure elements: 53 kJ/mol of formula units

Unit cell a=5.1321 b=5.1321 c=5.2266 alpha=90.00 beta=90.00 gamma=90.00
Element x y z (fractional)
Eu1 0.0000 0.5000 0.0000
Eu2 0.5000 0.0000 0.0000
Ho1 0.0000 0.0000 0.5000
Lu1 0.5000 0.5000 0.5000

***

EuHoLu2: optimized geometry, PBE-GGA.

Calculated values
Crystal system: cubic
Energy of formation from the pure elements: 62 kJ/mol of formula units

Unit cell a=5.6500 b=5.6500 c=5.6500 alpha=60.00 beta=60.00 gamma=60.00
Element x y z (fractional)
Eu1 0.0000 0.0000 0.0000
Ho1 0.5000 0.5000 0.5000
Lu1 0.2500 0.2500 0.2500
Lu2 0.7500 0.7500 0.7500

***

EuHo2Lu: optimized geometry, PBE-GGA.

Calculated values
Crystal system: trigonal
Energy of formation from the pure elements: 63 kJ/mol of formula units

Unit cell a=12.5659 b=12.5659 c=12.5659 alpha=16.01 beta=16.01 gamma=16.01
Element x y z (fractional)
Eu1 0.0000 0.0000 0.0000
Ho1 0.0921 0.0921 0.0921
Ho2 0.9079 0.9079 0.9079
Lu1 0.5000 0.5000 0.5000